The following is a PBE calculation of crystalline SrLiSb3 at its relaxed geometry, from Alexandria via LeMat-Bulk.

Cell lengths 5.203, 5.203, 5.203 Å; angles 90.00, 90.00, 90.00 degrees
Element x y z (fractional)
Sb  0.500  0.000  0.000
Li  0.000  0.000  0.000
Sb  0.000  0.500  0.000
Sr  0.500  0.500  0.500
Sb  0.000  0.000  0.500

Computed properties:
- Crystal system: cubic
- Distance to the lowest polymorph of the same formula: 0.000 eV/atom
- Calculated total energy: -3.460 eV per atom
- Calculated density: 5421 kg/m³
- Formation energy (no corrections): -25.8 kJ per mole of atoms

=====

The following is a PBE calculation of crystalline Sr3LiSb at its relaxed geometry, from Alexandria via LeMat-Bulk.

Cell lengths 6.373, 6.373, 6.373 Å; angles 90.00, 90.00, 90.00 degrees
Element x y z (fractional)
Sr  0.000  0.500  0.000
Sb  0.000  0.000  0.000
Sr  0.500  0.000  0.000
Sr  0.000  0.000  0.500
Li  0.500  0.500  0.500

Computed properties:
- Crystal system: cubic
- Distance to the lowest polymorph of the same formula: 0.000 eV/atom
- Calculated total energy: -2.505 eV per atom
- Calculated density: 2511 kg/m³
- Formation energy (no corrections): -27.8 kJ per mole of atoms

=====

The following is a PBE calculation of crystalline Sr2LiSb2 at its relaxed geometry, from Alexandria via LeMat-Bulk.

Cell lengths 9.617, 9.617, 3.703 Å; angles 90.00, 90.00, 90.00 degrees
Element x y z (fractional)
Li  0.500  0.500  0.000
Sb  0.333  0.167  0.500
Sb  0.833  0.333  0.500
Sr  0.134  0.366  0.000
Sr  0.866  0.634  0.000
Sb  0.667  0.833  0.500
Sr  0.634  0.134  0.000
Li  0.000  0.000  0.000
Sr  0.366  0.866  0.000
Sb  0.167  0.667  0.500

Computed properties:
- Crystal system: tetragonal
- Distance to the lowest polymorph of the same formula: 0.241 eV/atom
- Calculated total energy: -3.318 eV per atom
- Calculated density: 4128 kg/m³
- Formation energy (no corrections): -59.2 kJ per mole of atoms

=====

The following is a PBE calculation of crystalline Sr4LiSb at its relaxed geometry, from Alexandria via LeMat-Bulk.

Cell lengths 7.250, 7.250, 7.250 Å; angles 60.00, 60.00, 60.00 degrees
Element x y z (fractional)
Sr  0.374  0.374  0.878
Sr  0.878  0.374  0.374
Sb  0.000  0.000  0.000
Sr  0.374  0.374  0.374
Sr  0.374  0.878  0.374
Li  0.750  0.750  0.750

Computed properties:
- Crystal system: cubic
- Calculated total energy: -1.877 eV per atom
- Calculated density: 2954 kg/m³
- Formation energy (no corrections): 24.2 kJ per mole of atoms

=====

- Which of these has the lowest calculated density?
  Sr3LiSb

=====

What did the second record say?
The following is a PBE calculation of crystalline Sr3LiSb at its relaxed geometry, from Alexandria via LeMat-Bulk.

Cell lengths 6.373, 6.373, 6.373 Å; angles 90.00, 90.00, 90.00 degrees
Element x y z (fractional)
Sr  0.000  0.500  0.000
Sb  0.000  0.000  0.000
Sr  0.500  0.000  0.000
Sr  0.000  0.000  0.500
Li  0.500  0.500  0.500

Computed properties:
- Crystal system: cubic
- Distance to the lowest polymorph of the same formula: 0.000 eV/atom
- Calculated total energy: -2.505 eV per atom
- Calculated density: 2511 kg/m³
- Formation energy (no corrections): -27.8 kJ per mole of atoms

=====

- Which of these has the lowest calculated density?
  Sr3LiSb

=====

Repeat the second record exactly.
The following is a PBE calculation of crystalline Sr3LiSb at its relaxed geometry, from Alexandria via LeMat-Bulk.

Cell lengths 6.373, 6.373, 6.373 Å; angles 90.00, 90.00, 90.00 degrees
Element x y z (fractional)
Sr  0.000  0.500  0.000
Sb  0.000  0.000  0.000
Sr  0.500  0.000  0.000
Sr  0.000  0.000  0.500
Li  0.500  0.500  0.500

Computed properties:
- Crystal system: cubic
- Distance to the lowest polymorph of the same formula: 0.000 eV/atom
- Calculated total energy: -2.505 eV per atom
- Calculated density: 2511 kg/m³
- Formation energy (no corrections): -27.8 kJ per mole of atoms